Record 1
## SiRu2Pt (SCAN)

Data for a PBEsol-optimized structure of SiRu2Pt.

The value obtained for the calculated total energy is -149.77 eV for the cell shown. The total magnetic moment comes out at 0.0 μB per formula unit. The uncorrected formation energy comes out at 0.023 eV/atom. For the density of states at the Fermi level, the calculation gives 4.04 states/eV per cell.

The space group is Pmmm (No. 47) and the conventional cell measures 2.723, 4.484 and 4.492 Å, with angles of 90.00, 90.00 and 90.00 degrees. Symmetry generates all atoms from Si at (0.000, 0.000, 0.000), Ru at (0.000, 0.500, 0.500), Ru at (0.500, 0.500, 0.000) and Pt at (0.500, 0.000, 0.500).

---

Record 2
## SiRu2Pt (SCAN)

Data for a PBEsol-optimized structure of SiRu2Pt.

The value obtained for the calculated total energy is -451.73 eV for the cell shown. The total magnetic moment comes out at 0.0 μB per formula unit. The uncorrected formation energy comes out at -0.179 eV/atom. For the density of states at the Fermi level, the calculation gives 8.19 states/eV per cell.

The space group is R3m (No. 160, hexagonal axes) and the conventional cell measures 2.7562, 2.7562 and 24.6482 Å, with angles of 90.00, 90.00 and 120.00 degrees. Symmetry generates all atoms from Si at (0.0000, 0.0000, 0.0000), Ru at (0.0000, 0.0000, 0.2571), Ru at (0.0000, 0.0000, 0.5057) and Pt at (0.0000, 0.0000, 0.7456).

---

Record 3
## SiRu2Pt (SCAN)

Data for a PBEsol-optimized structure of SiRu2Pt.

The value obtained for the calculated total energy is -299.02 eV for the cell shown. The total magnetic moment comes out at 1.6 μB per formula unit. The uncorrected formation energy comes out at 0.087 eV/atom. For the density of states at the Fermi level, the calculation gives 7.30 states/eV per cell.

The space group is C2/m (No. 12) and the conventional cell measures 5.137, 9.230 and 2.707 Å, with angles of 90.00, 120.13 and 90.00 degrees. Symmetry generates all atoms from Si at (0.000, 0.000, 0.000), Ru at (0.250, 0.250, 0.500) and Pt at (0.000, 0.500, 0.000).

---

Record 4
## SiRu2Pt (SCAN)

Data for a PBEsol-optimized structure of SiRu2Pt.

The value obtained for the calculated total energy is -150.90 eV for the cell shown. The total magnetic moment comes out at 0.0 μB per formula unit. The uncorrected formation energy comes out at -0.260 eV/atom. For the density of states at the Fermi level, the calculation gives 2.79 states/eV per cell.

The space group is P2/m (No. 10) and the conventional cell measures 2.775, 3.863 and 5.179 Å, with angles of 90.00, 102.45 and 90.00 degrees. Symmetry generates all atoms from Si at (0.000, 0.000, 0.000), Ru at (0.370, 0.500, 0.233) and Pt at (0.000, 0.000, 0.500).

---

Record 5
## Sn2RuPt (SCAN)

Data for a PBEsol-optimized structure of Sn2RuPt.

The value obtained for the calculated total energy is -706.28 eV for the cell shown. The total magnetic moment comes out at 1.5 μB per formula unit. The formation enthalpy at 0 K is 73 meV/atom. For the density of states at the Fermi level, the calculation gives 8.79 states/eV per cell.

The space group is Fm-3m (No. 225) and the conventional cell measures 6.517, 6.517 and 6.517 Å, with angles of 90.00, 90.00 and 90.00 degrees. Symmetry generates all atoms from Sn at (0.250, 0.250, 0.250), Ru at (0.000, 0.000, 0.000) and Pt at (0.000, 0.000, 0.500).

---

Record 6
## SrRuPt2 (SCAN)

Data for a PBEsol-optimized structure of SrRuPt2.

The calculation puts the energy above the most stable polymorph in this dataset at 0 meV per atom. The value obtained for the calculated total energy is -197.60 eV for the cell shown. The total magnetic moment comes out at 0.0 μB per formula unit. The formation enthalpy at 0 K is -29 meV/atom. For the density of states at the Fermi level, the calculation gives 4.04 states/eV per cell.

The space group is P4/mmm (No. 123) and the conventional cell measures 3.227, 3.227 and 7.144 Å, with angles of 90.00, 90.00 and 90.00 degrees. Symmetry generates all atoms from Sr at (0.000, 0.000, 0.000), Ru at (0.000, 0.000, 0.500) and Pt at (0.500, 0.500, 0.309).

---

Record 7
## Sr2RuPt (SCAN)

Data for a PBEsol-optimized structure of Sr2RuPt.

The value obtained for the calculated total energy is -301.54 eV for the cell shown. The total magnetic moment comes out at 0.0 μB per formula unit. The formation enthalpy at 0 K is -300 meV/atom. For the density of states at the Fermi level, the calculation gives 4.25 states/eV per cell.

The space group is Amm2 (No. 38) and the conventional cell measures 4.517, 4.705 and 10.285 Å, with angles of 90.00, 90.00 and 90.00 degrees. Symmetry generates all atoms from Sr at (0.000, 0.000, 0.000), Sr at (0.500, 0.000, 0.293), Ru at (0.500, 0.000, 0.610) and Pt at (0.000, 0.000, 0.691).

---

Record 8
## SrRuPt2 (SCAN)

Data for a PBEsol-optimized structure of SrRuPt2.

The calculation puts the energy above the most stable polymorph in this dataset at 85 meV per atom. The value obtained for the calculated total energy is -197.26 eV for the cell shown. The total magnetic moment comes out at 0.7 μB per formula unit. The formation enthalpy at 0 K is 56 meV/atom. For the density of states at the Fermi level, the calculation gives 2.77 states/eV per cell.

The space group is Pmm2 (No. 25) and the conventional cell measures 2.818, 3.967 and 6.582 Å, with angles of 90.00, 90.00 and 90.00 degrees. Symmetry generates all atoms from Sr at (0.000, 0.000, 0.000), Ru at (0.500, 0.500, 0.673), Pt at (0.000, 0.000, 0.523) and Pt at (0.500, 0.500, 0.283).